Model i:
V3H3Pt: optimized geometry, PBE.

Output
**Total magnetization**: 0.1140 μB per atom

abc: 5.016 5.016 5.016
angles: 90.00 90.00 90.00
Space group Pm-3n (No. 223)
Inequivalent atoms, fractional coordinates:
V: 0.000 0.250 0.500 x6
H: 0.000 0.500 0.250 x6
Pt: 0.000 0.000 0.000 x2

---

Model ii:
V3H3Pt: optimized geometry, PBE.

Output
**Total magnetization**: 0.0000 μB per atom

abc: 5.4636 5.4636 17.4973
angles: 90.00 90.00 120.00
Space group R-3 (No. 148, hexagonal axes)
Inequivalent atoms, fractional coordinates:
V: 0.0073 0.6040 0.3832 x18
H: 0.0024 0.7363 0.6155 x18
Pt: 0.0000 0.0000 0.1611 x6

---

model i ends up most stable, edging out the next structure by 0.267 eV/atom.

---

Model i:
V2H2Pt: optimized geometry, PBE.

Output
**Total magnetization**: 0.0000 μB per atom

abc: 3.317 3.317 8.610
angles: 90.00 90.00 90.00
Space group I4/mmm (No. 139)
Inequivalent atoms, fractional coordinates:
V: 0.000 0.000 0.167 x4
H: 0.000 0.500 0.250 x4
Pt: 0.000 0.000 0.500 x2

---

Model ii:
V2H2Pt: optimized geometry, PBE.

Output
**Total magnetization**: 0.0000 μB per atom

abc: 6.030 6.030 2.665
angles: 90.00 90.00 90.00
Space group P4/mbm (No. 127)
Inequivalent atoms, fractional coordinates:
V: 0.139 0.361 0.000 x4
H: 0.113 0.613 0.500 x4
Pt: 0.000 0.000 0.500 x2

---

model i ends up most stable, edging out the next structure by 0.141 eV/atom.

---

Model i:
VH2Pt: optimized geometry, PBE.

Output
**Total magnetization**: 0.0000 μB per atom

abc: 4.169 4.169 8.280
angles: 90.00 90.00 90.00
Space group I-42d (No. 122)
Inequivalent atoms, fractional coordinates:
V: 0.000 0.000 0.000 x4
H: 0.234 0.250 0.125 x8
Pt: 0.000 0.000 0.500 x4

---

Model ii:
VH2Pt: optimized geometry, PBE.

Output
**Total magnetization**: 0.2309 μB per atom

abc: 5.268 5.268 5.268
angles: 90.00 90.00 90.00
Space group Fm-3m (No. 225)
Inequivalent atoms, fractional coordinates:
V: 0.000 0.000 0.000 x4
H: 0.250 0.250 0.250 x8
Pt: 0.000 0.000 0.500 x4

---

model i ends up most stable, edging out the next structure by 0.421 eV/atom.

---

Model i:
VH2Pt2: optimized geometry, PBE.

Output
**Total magnetization**: 0.3356 μB per atom

abc: 6.243 6.243 2.794
angles: 90.00 90.00 90.00
Space group P4/mbm (No. 127)
Inequivalent atoms, fractional coordinates:
V: 0.000 0.000 0.000 x2
H: 0.219 0.281 0.000 x4
Pt: 0.158 0.658 0.500 x4

---

Model ii:
VH2Pt2: optimized geometry, PBE.

Output
**Total magnetization**: 0.2992 μB per atom

abc: 3.514 3.514 8.497
angles: 90.00 90.00 90.00
Space group I4/mmm (No. 139)
Inequivalent atoms, fractional coordinates:
V: 0.000 0.000 0.000 x2
H: 0.000 0.500 0.250 x4
Pt: 0.000 0.000 0.342 x4

---

model ii ends up most stable, edging out the next structure by 0.054 eV/atom.

---

Model i:
H2PtW2: optimized geometry, PBE.

Output
**Total magnetization**: 0.0000 μB per atom

abc: 6.275 6.275 2.768
angles: 90.00 90.00 90.00
Space group P4/mbm (No. 127)
Inequivalent atoms, fractional coordinates:
H: 0.112 0.388 0.000 x4
Pt: 0.000 0.000 0.000 x2
W: 0.143 0.643 0.500 x4

---

Model ii:
H2PtW2: optimized geometry, PBE.

Output
**Total magnetization**: 0.0000 μB per atom

abc: 3.826 3.826 7.981
angles: 90.00 90.00 90.00
Space group I4/mmm (No. 139)
Inequivalent atoms, fractional coordinates:
H: 0.000 0.000 0.157 x4
Pt: 0.000 0.000 0.500 x2
W: 0.000 0.500 0.250 x4

---

model ii ends up most stable, edging out the next structure by 0.021 eV/atom.

---

Model i:
H2Pt2W: optimized geometry, PBE.

Output
**Total magnetization**: 0.0000 μB per atom

abc: 6.785 6.785 2.695
angles: 90.00 90.00 90.00
Space group P4/mbm (No. 127)
Inequivalent atoms, fractional coordinates:
H: 0.104 0.396 0.000 x4
Pt: 0.218 0.282 0.500 x4
W: 0.000 0.000 0.000 x2

---

Model ii:
H2Pt2W: optimized geometry, PBE.

Output
**Total magnetization**: 0.0000 μB per atom

abc: 2.857 2.857 13.205
angles: 90.00 90.00 90.00
Space group I4/mmm (No. 139)
Inequivalent atoms, fractional coordinates:
H: 0.000 0.500 0.250 x4
Pt: 0.000 0.000 0.147 x4
W: 0.000 0.000 0.500 x2

---

model ii ends up most stable, edging out the next structure by 0.101 eV/atom.

---

Model i:
YH2Pt2: optimized geometry, PBE.

Output
**Total magnetization**: 0.0000 μB per atom

abc: 6.140 6.140 3.645
angles: 90.00 90.00 90.00
Space group P4/mbm (No. 127)
Inequivalent atoms, fractional coordinates:
Y: 0.000 0.000 0.000 x2
H: 0.145 0.355 0.000 x4
Pt: 0.153 0.347 0.500 x4

---

Model ii:
YH2Pt2: optimized geometry, PBE.

Output
**Total magnetization**: 0.0000 μB per atom

abc: 3.750 3.750 8.978
angles: 90.00 90.00 90.00
Space group I4/mmm (No. 139)
Inequivalent atoms, fractional coordinates:
Y: 0.000 0.000 0.000 x2
H: 0.000 0.500 0.250 x4
Pt: 0.000 0.000 0.340 x4

---

model i ends up most stable, edging out the next structure by 0.017 eV/atom.

---

Model i:
YHPt: optimized geometry, PBE.

Output
**Total magnetization**: 0.0000 μB per atom

abc: 10.498 17.077 10.448
angles: 90.00 118.10 90.00
Space group Cm (No. 8)
Inequivalent atoms, fractional coordinates:
Y: 0.000 0.000 0.000 x2
Y: 0.016 0.500 0.478 x2
Y: 0.086 0.384 0.791 x4
Y: 0.105 0.122 0.781 x4
Y: 0.226 0.000 0.592 x2
Y: 0.267 0.396 0.394 x4
Y: 0.296 0.254 0.637 x4
Y: 0.327 0.126 0.184 x4
Y: 0.441 0.292 0.011 x4
Y: 0.443 0.000 0.996 x2
H: 0.013 0.237 0.827 x4
H: 0.017 0.000 0.795 x2
H: 0.083 0.121 0.990 x4
H: 0.140 0.500 0.718 x2
H: 0.221 0.500 0.481 x2
H: 0.228 0.000 0.798 x2
H: 0.235 0.276 0.810 x4
H: 0.261 0.066 0.983 x4
H: 0.370 0.376 0.653 x4
H: 0.464 0.000 0.794 x2
H: 0.467 0.000 0.232 x2
Pt: 0.034 0.319 0.457 x4
Pt: 0.066 0.147 0.496 x4
Pt: 0.070 0.351 0.076 x4
Pt: 0.151 0.238 0.307 x4
Pt: 0.201 0.000 0.287 x2
Pt: 0.303 0.421 0.071 x4
Pt: 0.326 0.122 0.493 x4
Pt: 0.358 0.290 0.236 x4
Pt: 0.446 0.500 0.331 x2

---

Model ii:
YHPt: optimized geometry, PBE.

Output
**Total magnetization**: 0.0000 μB per atom

abc: 3.795 10.548 4.711
angles: 90.00 90.00 90.00
Space group Cmcm (No. 63)
Inequivalent atoms, fractional coordinates:
Y: 0.000 0.137 0.250 x4
H: 0.000 0.099 0.750 x4
Pt: 0.000 0.412 0.250 x4

---

Model iii:
YHPt: optimized geometry, PBE.

Output
**Total magnetization**: 0.0000 μB per atom

abc: 3.9509 3.9509 3.5959
angles: 90.00 90.00 120.00
Space group P3m1 (No. 156)
Inequivalent atoms, fractional coordinates:
Y: 0.0000 0.0000 0.0000 x1
H: 0.3333 0.6667 0.5030 x1
Pt: 0.6667 0.3333 0.5002 x1

---

model ii ends up most stable, edging out the next structure by 0.184 eV/atom.

---

Model i:
Y2H2Pt: optimized geometry, PBE.

Output
**Total magnetization**: 0.0000 μB per atom

abc: 6.879 6.879 3.232
angles: 90.00 90.00 90.00
Space group P4/mbm (No. 127)
Inequivalent atoms, fractional coordinates:
Y: 0.181 0.319 0.000 x4
H: 0.114 0.614 0.500 x4
Pt: 0.000 0.000 0.500 x2

---

Model ii:
Y2H2Pt: optimized geometry, PBE.

Output
**Total magnetization**: 0.0000 μB per atom

abc: 3.529 3.529 12.450
angles: 90.00 90.00 90.00
Space group I4/mmm (No. 139)
Inequivalent atoms, fractional coordinates:
Y: 0.000 0.000 0.139 x4
H: 0.000 0.500 0.250 x4
Pt: 0.000 0.000 0.500 x2

---

model ii ends up most stable, edging out the next structure by 0.427 eV/atom.